Material: ScCdMo4
Method: DFT, PBE
State: optimized geometry

Results
Magnetization in μB per cell: 0.00
E_form in eV/f.u.: 1.3
Electronic total energy in eV per atom: -8.209

Unit cell a=7.575 b=7.575 c=7.575 alpha=90.00 beta=90.00 gamma=90.00
Space group F-43m (No. 216)
Asymmetric unit:
Sc  0.000  0.000  0.000 [4 per cell]
Cd  0.250  0.250  0.750 [4 per cell]
Mo  0.124  0.124  0.376 [16 per cell]